# 1
DFT (PBE-GGA) results for a relaxed structure of ZrRePd3.

Output
The density of states at the Fermi level is 7.1 states/eV/cell. As for the space-group type: No. 221. For the volume, the calculation gives 108 Å³/f.u. The calculation puts the offset from the most stable computed form at 0.00 eV/f.u. For the formation energy, the calculation gives 0.97 eV per atom.

Lattice parameters (Å, degrees): 4.769 4.769 4.769 90.00 90.00 90.00
Positions (direct):
Zr 0.000 0.000 0.000
Re 0.500 0.500 0.500
Pd 0.000 0.500 0.500
Pd 0.500 0.000 0.500
Pd 0.500 0.500 0.000

# 2
DFT (PBE-GGA) results for a relaxed structure of AlAsIr.

Output
The density of states at the Fermi level is 2.5 states/eV/cell. As for the space-group type: No. 187. For the volume, the calculation gives 47 Å³/f.u. For the formation energy, the calculation gives -0.13 eV per atom.

Lattice parameters (Å, degrees): 4.336 4.336 2.885 90.00 90.00 120.00
Positions (direct):
Al 0.000 0.000 0.000
As 0.667 0.333 0.500
Ir 0.333 0.667 0.500